Material: La3Al3Hg
Method: DFT, PBE
State: optimized geometry

```
La3Al3Hg
1.0
4.765 0.000 0.718
2.311 5.598 0.833
0.289 0.715 14.252
Al La Hg
6 6 2
direct
0.122 0.302 0.453
0.878 0.698 0.547
0.934 0.899 0.233
0.887 0.166 0.059
0.113 0.834 0.941
0.066 0.101 0.767
0.759 0.682 0.800
0.241 0.318 0.200
0.580 0.746 0.094
0.420 0.254 0.906
0.558 0.266 0.617
0.442 0.734 0.383
0.265 0.858 0.612
0.735 0.142 0.388
```

Values from the calculation:
- Size of the total moment: 0.0 Bohr magnetons per cell
- Calculated formation energy: -0.4171 eV/atom
- Calculated total energy: -4.176 eV/atom
- V: 26.9 Å³/atom


Material: La2Al2Hg
Method: DFT, PBE
State: optimized geometry

```
La2Al2Hg
1.0
4.879 0.000 0.000
0.000 4.879 0.000
2.439 2.439 6.426
La Al Hg
2 2 1
direct
0.250 0.750 0.500
0.750 0.250 0.500
0.595 0.595 0.810
0.405 0.405 0.190
0.000 0.000 0.000
```

Values from the calculation:
- Size of the total moment: 0.0 Bohr magnetons per cell
- Calculated formation energy: 0.1876 eV/atom
- Calculated total energy: -3.341 eV/atom
- V: 30.6 Å³/atom


Material: LaAlHg2
Method: DFT, PBE
State: optimized geometry

```
LaAlHg2
1.0
-2.781 -2.169 -4.965
-4.704 -3.782 4.286
-5.456 6.855 0.061
La Hg Al
4 8 4
direct
0.371 0.250 0.046
0.629 0.750 0.954
0.871 0.750 0.454
0.129 0.250 0.546
0.866 0.455 0.182
0.366 0.545 0.318
0.134 0.545 0.818
0.866 0.045 0.182
0.634 0.045 0.682
0.634 0.455 0.682
0.134 0.955 0.818
0.366 0.955 0.318
0.133 0.750 0.098
0.633 0.250 0.402
0.867 0.250 0.902
0.367 0.750 0.598
```

Values from the calculation:
- Size of the total moment: 0.0 Bohr magnetons per cell
- Calculated formation energy: -0.3610 eV/atom
- Calculated total energy: -2.679 eV/atom
- V: 24.7 Å³/atom